1.
CsHoFeSe3 | PBE-GGA | relaxed

The space group is Pnma (No. 62) and the conventional cell measures 16.5594, 4.1133 and 11.0328 Å, with angles of 90.00, 90.00 and 90.00 degrees. The asymmetric unit holds Cs at (0.2367, 0.2500, 0.0254), Ho at (0.0153, 0.2500, 0.3454), Fe at (0.0097, 0.7500, 0.0833), Se at (0.0758, 0.7500, 0.8830), Se at (0.0900, 0.2500, 0.5734) and Se at (0.1143, 0.7500, 0.2383).

---

2.
MgSiTeW | PBE-GGA | relaxed

The space group is F-43m (No. 216) and the conventional cell measures 6.6587, 6.6587 and 6.6587 Å, with angles of 90.00, 90.00 and 90.00 degrees. The asymmetric unit holds Mg at (0.0000, 0.0000, 0.0000), Si at (0.0000, 0.0000, 0.5000), Te at (0.2500, 0.2500, 0.2500) and W at (0.2500, 0.2500, 0.7500).

As for the excess energy over the best structure of this formula in the dataset: 0.386 eV per atom.

---

3.
FeReTcGe | PBE-GGA | relaxed

The space group is F-43m (No. 216) and the conventional cell measures 6.0370, 6.0370 and 6.0370 Å, with angles of 90.00, 90.00 and 90.00 degrees. The asymmetric unit holds Fe at (0.0000, 0.0000, 0.0000), Re at (0.2500, 0.2500, 0.2500), Tc at (0.0000, 0.0000, 0.5000) and Ge at (0.2500, 0.2500, 0.7500).

As for the excess energy over the best structure of this formula in the dataset: 0.000 eV per atom.

---

4.
Er5Ga2Sn | PBE-GGA | relaxed

The space group is I4/mcm (No. 140) and the conventional cell measures 7.7978, 7.7978 and 13.5738 Å, with angles of 90.00, 90.00 and 90.00 degrees. The asymmetric unit holds Er at (0.0000, 0.0000, 0.0000), Er at (0.1609, 0.3391, 0.1444), Ga at (0.1318, 0.3682, 0.5000) and Sn at (0.0000, 0.0000, 0.2500).

---

5.
Zr4AsAuN2 | PBE-GGA | relaxed

The space group is P-6m2 (No. 187) and the conventional cell measures 3.3733, 3.3733 and 13.2586 Å, with angles of 90.00, 90.00 and 120.00 degrees. The asymmetric unit holds Zr at (0.0000, 0.0000, 0.1451), Zr at (0.3333, 0.6667, 0.3315), As at (0.3333, 0.6667, 0.0000), Au at (0.0000, 0.0000, 0.5000) and N at (0.6667, 0.3333, 0.2413).

---

6.
DyCuMo | PBE-GGA | relaxed

The space group is F-43m (No. 216) and the conventional cell measures 6.3646, 6.3646 and 6.3646 Å, with angles of 90.00, 90.00 and 90.00 degrees. The asymmetric unit holds Dy at (0.0000, 0.0000, 0.0000), Cu at (0.0000, 0.0000, 0.5000) and Mo at (0.2500, 0.2500, 0.7500).

For the formation energy, the calculation gives 1.01 eV per atom.

---

7.
Cu3As | PBE-GGA | relaxed

The space group is I-43d (No. 220) and the conventional cell measures 9.6197, 9.6197 and 9.6197 Å, with angles of 90.00, 90.00 and 90.00 degrees. The asymmetric unit holds Cu at (0.0286, 0.3810, 0.1881) and As at (0.0303, 0.4697, 0.5303).

---

8.
CoBPb | PBE-GGA | relaxed

The space group is F-43m (No. 216) and the conventional cell measures 5.5951, 5.5951 and 5.5951 Å, with angles of 90.00, 90.00 and 90.00 degrees. The asymmetric unit holds Co at (0.0000, 0.0000, 0.0000), B at (0.2500, 0.2500, 0.7500) and Pb at (0.0000, 0.0000, 0.5000).

As for the excess energy over the best structure of this formula in the dataset: 0.000 eV per atom.

---

9.
ZrSnB4 | PBE-GGA | relaxed

The space group is Immm (No. 71) and the conventional cell measures 3.1395, 5.3146 and 7.8997 Å, with angles of 90.00, 90.00 and 90.00 degrees. The asymmetric unit holds Zr at (0.0000, 0.0000, 0.0000), Sn at (0.0000, 0.0000, 0.5000) and B at (0.0000, 0.3335, 0.2521).

As for the excess energy over the best structure of this formula in the dataset: 0.100 eV per atom.

---

10.
Nd2IrPbO6 | PBE-GGA | relaxed

The space group is P2_1/c (No. 14) and the conventional cell measures 5.6533, 6.0925 and 9.8388 Å, with angles of 90.00, 123.85 and 90.00 degrees. The asymmetric unit holds Nd at (0.2198, 0.0760, 0.2491), Ir at (0.0000, 0.0000, 0.5000), Pb at (0.5000, 0.0000, 0.0000), O at (0.0718, 0.2138, 0.9212), O at (0.2306, 0.6724, 0.9342) and O at (0.3689, 0.0652, 0.7203).

As for the excess energy over the best structure of this formula in the dataset: 0.000 eV per atom.

---

11.
Zr4ZnSN2 | PBE-GGA | relaxed

The space group is P-6m2 (No. 187) and the conventional cell measures 3.3374, 3.3374 and 13.0013 Å, with angles of 90.00, 90.00 and 120.00 degrees. The asymmetric unit holds Zr at (0.0000, 0.0000, 0.1399), Zr at (0.3333, 0.6667, 0.3295), Zn at (0.0000, 0.0000, 0.5000), S at (0.3333, 0.6667, 0.0000) and N at (0.6667, 0.3333, 0.2397).

---

12.
DySi2Ge2 | PBE-GGA | relaxed

The space group is I4/mmm (No. 139) and the conventional cell measures 4.7605, 4.7605 and 8.6093 Å, with angles of 90.00, 90.00 and 90.00 degrees. The asymmetric unit holds Dy at (0.0000, 0.0000, 0.0000), Si at (0.0000, 0.5000, 0.2500) and Ge at (0.0000, 0.0000, 0.3512).

---

no.,DFT total energy (eV per atom)
1,-5.2607
2,-4.9206
3,-8.7515
4,-4.6894
5,-8.5405
6,-5.3772
7,-3.9373
8,-4.8608
9,-6.6081
10,-7.1936
11,-8.3183
12,-4.9418